# 1
Material: Ac3Nd2PuTe6
Method: DFT, PBE-GGA
State: optimized geometry

a b c (Å): 10.308 10.308 9.262
angles (deg): 103.17 103.17 25.69
Element x y z (fractional)
Ac 0.000 0.000 0.000
Ac 0.332 0.332 0.666
Ac 0.668 0.668 0.334
Nd 0.334 0.334 0.169
Nd 0.666 0.666 0.831
Pu 0.000 0.000 0.500
Te 0.162 0.162 0.590
Te 0.170 0.170 0.075
Te 0.498 0.498 0.262
Te 0.502 0.502 0.738
Te 0.830 0.830 0.925
Te 0.838 0.838 0.410

Calculated values
The symmetry is No. 12. As for the total energy: -5.99 eV per atom. The value obtained for the size of the total moment is 6.12 μB/f.u. The formation energy without anion corrections is -1.41 eV/atom.

***

# 2
Material: Na2ThMgS4
Method: DFT, PBE-GGA
State: optimized geometry

a b c (Å): 6.752 4.053 7.077
angles (deg): 90.00 109.02 90.00
Element x y z (fractional)
Na 0.000 0.000 0.000
Na 0.500 0.500 0.000
Th 0.000 0.500 0.500
Mg 0.500 0.000 0.500
S 0.249 0.000 0.731
S 0.270 0.500 0.281
S 0.730 0.500 0.719
S 0.751 0.000 0.269

Calculated values
The symmetry is No. 10. As for the total energy: -5.08 eV per atom. The value obtained for the size of the total moment is 0.00 μB/f.u. The formation energy without anion corrections is -1.56 eV/atom.

***

# 3
Material: Mg2TlTe
Method: DFT, PBE-GGA
State: optimized geometry

a b c (Å): 4.956 4.956 6.165
angles (deg): 106.77 106.77 47.60
Element x y z (fractional)
Mg 0.244 0.244 0.264
Mg 0.756 0.756 0.736
Tl 0.000 0.000 0.500
Te 0.500 0.500 0.000

Calculated values
The symmetry is No. 12. As for the total energy: -2.41 eV per atom. The value obtained for the size of the total moment is 0.00 μB/f.u. The formation energy without anion corrections is -0.24 eV/atom.

***

# 4
Material: BC2
Method: DFT, PBE-GGA
State: optimized geometry

a b c (Å): 3.678 4.602 5.274
angles (deg): 71.77 89.06 66.95
Element x y z (fractional)
B 0.000 0.000 0.000
B 0.022 0.059 0.487
B 0.105 0.435 0.895
B 0.691 0.718 0.315
C 0.120 0.383 0.406
C 0.358 0.382 0.646
C 0.363 0.384 0.165
C 0.435 0.711 0.065
C 0.439 0.706 0.582
C 0.662 0.730 0.816
C 0.744 0.051 0.734
C 0.754 0.079 0.229

Calculated values
The symmetry is No. 1. The value obtained for the energy relative to the elements is 351 meV per atom. As for the total energy: -8.02 eV per atom. The value obtained for the size of the total moment is 0.00 μB/f.u.